[1]
Cr2TePb | GGA-PBE | relaxed

Results
V in Å³/cell: 90.4
Formation energy from raw total energies in eV/f.u.: 1.8
Density of states at the Fermi level in states/eV per cell: 2.64

Lattice parameters (Å, degrees): 3.561 3.561 7.130 90.00 90.00 90.00
Sites, in units of the cell vectors:
Cr 0.000 0.000 0.224
Cr 0.000 0.000 0.776
Te 0.500 0.500 0.000
Pb 0.500 0.500 0.500

---

[2]
Y2ScAl4Au3 | GGA-PBE | relaxed

Results
V in Å³/cell: 205.6
Density of states at the Fermi level in states/eV per cell: 5.34
Calculated formation energy in kJ/mol of formula units: -621

Lattice parameters (Å, degrees): 4.207 4.207 11.618 90.00 90.00 90.00
Sites, in units of the cell vectors:
Y 0.000 0.500 0.240
Y 0.500 0.000 0.760
Sc 0.000 0.000 0.500
Al 0.000 0.000 0.000
Al 0.000 0.500 0.656
Al 0.500 0.000 0.344
Al 0.500 0.500 0.000
Au 0.000 0.500 0.870
Au 0.500 0.000 0.130
Au 0.500 0.500 0.500

---

[3]
KRb2RuBr6 | GGA-PBE | relaxed

Results
V in Å³/cell: 740.1
Formation energy from raw total energies in eV/f.u.: -11.1
Density of states at the Fermi level in states/eV per cell: 18.67

Lattice parameters (Å, degrees): 7.630 11.294 8.589 90.00 90.00 90.00
Sites, in units of the cell vectors:
K 0.250 0.250 0.202
K 0.750 0.750 0.798
Rb 0.250 0.030 0.698
Rb 0.250 0.470 0.698
Rb 0.750 0.530 0.302
Rb 0.750 0.970 0.302
Ru 0.250 0.750 0.292
Ru 0.750 0.250 0.708
Br 0.014 0.750 0.085
Br 0.018 0.750 0.504
Br 0.250 0.526 0.291
Br 0.250 0.974 0.291
Br 0.482 0.750 0.504
Br 0.486 0.750 0.085
Br 0.514 0.250 0.915
Br 0.518 0.250 0.496
Br 0.750 0.026 0.709
Br 0.750 0.474 0.709
Br 0.982 0.250 0.496
Br 0.986 0.250 0.915

---

[4]
Pm4PrMg2 | GGA-PBE | relaxed

Results
V in Å³/cell: 221.2
Density of states at the Fermi level in states/eV per cell: 9.25
Calculated formation energy in kJ/mol of formula units: 43

Lattice parameters (Å, degrees): 8.844 8.844 8.844 36.69 36.69 36.69
Sites, in units of the cell vectors:
Pm 0.066 0.066 0.066
Pm 0.208 0.208 0.208
Pm 0.792 0.792 0.792
Pm 0.934 0.934 0.934
Pr 0.500 0.500 0.500
Mg 0.351 0.351 0.351
Mg 0.649 0.649 0.649

---

[5]
Sr2Ag2Te | GGA-PBE | relaxed

Results
V in Å³/cell: 342.6
Formation energy from raw total energies in eV/f.u.: -1.9
Density of states at the Fermi level in states/eV per cell: 0.17

Lattice parameters (Å, degrees): 5.745 5.745 10.380 90.00 90.00 90.00
Sites, in units of the cell vectors:
Sr 0.000 0.500 0.250
Sr 0.000 0.500 0.750
Sr 0.500 0.000 0.250
Sr 0.500 0.000 0.750
Ag 0.000 0.000 0.127
Ag 0.000 0.000 0.873
Ag 0.500 0.500 0.373
Ag 0.500 0.500 0.627
Te 0.000 0.000 0.500
Te 0.500 0.500 0.000

---

[6]
Ce6Ge2BiTe3 | GGA-PBE | relaxed

Results
V in Å³/cell: 371.2
Formation energy from raw total energies in eV/f.u.: -12.9
Density of states at the Fermi level in states/eV per cell: 36.66

Lattice parameters (Å, degrees): 9.915 9.915 8.919 102.78 102.78 25.76
Sites, in units of the cell vectors:
Ce 0.009 0.009 0.258
Ce 0.328 0.328 0.430
Ce 0.330 0.330 0.896
Ce 0.670 0.670 0.104
Ce 0.672 0.672 0.570
Ce 0.991 0.991 0.742
Ge 0.168 0.168 0.335
Ge 0.832 0.832 0.665
Bi 0.500 0.500 0.000
Te 0.162 0.162 0.833
Te 0.500 0.500 0.500
Te 0.838 0.838 0.167

---

> Among the records above, which one has the lowest V?

Cr2TePb

---

> Which formula does entry 5 have?

Sr2Ag2Te